# Ac4TeSe2S | Alexandria | PBE | relaxed
# M_tot, μB per atom: 0.00
# Mass density, g/cm3: 7.88
# Formation energy without anion corrections, eV/atom: -1.780
# Volume, Å³/cell: 258
data_Ac4TeSe2S
_chemical_formula_sum 'Ac4 Te1 Se2 S1'
_symmetry_space_group_name_H-M 'P 1 2/m 1'
_symmetry_Int_Tables_number 10
_symmetry_space_group_name_Hall '-P 2y'
_cell_length_a 7.782
_cell_length_b 4.471
_cell_length_c 7.861
_cell_angle_alpha 90.00
_cell_angle_beta 109.18
_cell_angle_gamma 90.00
loop_
_atom_site_label
_atom_site_type_symbol
_atom_site_fract_x
_atom_site_fract_y
_atom_site_fract_z
Ac1 Ac 0.241 0.000 0.227
Ac2 Ac 0.256 0.500 0.771
Te1 Te 0.500 0.500 0.500
Se1 Se 0.000 0.000 0.500
Se2 Se 0.000 0.500 0.000
S1 S 0.500 0.000 0.000